A plane-wave DFT calculation with PBE was carried out for a relaxed AlGeSb2Se crystal.

Properties
- crystal system = tetragonal
- theoretical density (g/cm³) = 5.18
- Fermi-level density of states (states/eV/atom) = 0.53
- ΔE_f (raw) (eV/f.u.) = 2.31
- VASP energy (eV/atom) = -3.56

abc: 5.2970 5.2970 4.8201
angles: 90.00 90.00 90.00
Fractional positions:
Al (0.0000, 0.0000, 0.0000)
Ge (0.5000, 0.5000, 0.5000)
Sb (0.0000, 0.5000, 0.0000)
Sb (0.5000, 0.0000, 0.0000)
Se (0.0000, 0.0000, 0.5000)

=====

A plane-wave DFT calculation with PBE was carried out for a relaxed Al2GeSbSe crystal.

Properties
- crystal system = tetragonal
- theoretical density (g/cm³) = 4.05
- Fermi-level density of states (states/eV/atom) = 0.68
- ΔE_f (raw) (eV/f.u.) = 3.27
- VASP energy (eV/atom) = -3.29

abc: 4.9109 4.9109 5.5702
angles: 90.00 90.00 90.00
Fractional positions:
Al (0.0000, 0.5000, 0.0000)
Al (0.5000, 0.0000, 0.0000)
Ge (0.0000, 0.0000, 0.5000)
Sb (0.5000, 0.5000, 0.5000)
Se (0.5000, 0.5000, 0.0000)

=====

A plane-wave DFT calculation with PBE was carried out for a relaxed SrAlGe2Sb crystal.

Properties
- crystal system = tetragonal
- theoretical density (g/cm³) = 4.62
- Fermi-level density of states (states/eV/atom) = 0.49
- ΔE_f (raw) (eV/f.u.) = -0.03
- VASP energy (eV/atom) = -3.76

abc: 4.9742 4.9742 5.5411
angles: 90.00 90.00 90.00
Fractional positions:
Sr (0.0000, 0.0000, 0.0000)
Al (0.5000, 0.5000, 0.5000)
Ge (0.0000, 0.5000, 0.5000)
Ge (0.5000, 0.0000, 0.5000)
Sb (0.5000, 0.5000, 0.0000)

=====

A plane-wave DFT calculation with PBE was carried out for a relaxed AlTcGeSb2 crystal.

Properties
- crystal system = tetragonal
- theoretical density (g/cm³) = 5.79
- Fermi-level density of states (states/eV/atom) = 1.13
- ΔE_f (raw) (eV/f.u.) = 2.50
- VASP energy (eV/atom) = -4.89

abc: 5.1559 5.1559 4.7559
angles: 90.00 90.00 90.00
Fractional positions:
Al (0.0000, 0.0000, 0.0000)
Tc (0.0000, 0.0000, 0.5000)
Ge (0.5000, 0.5000, 0.0000)
Sb (0.0000, 0.5000, 0.5000)
Sb (0.5000, 0.0000, 0.5000)

=====

A plane-wave DFT calculation with PBE was carried out for a relaxed AlGeSb2Te crystal.

Properties
- crystal system = tetragonal
- theoretical density (g/cm³) = 4.99
- Fermi-level density of states (states/eV/atom) = 0.88
- energy above the most stable polymorph in this dataset (eV per formula unit) = 0.497
- ΔE_f (raw) (eV/f.u.) = 3.33
- VASP energy (eV/atom) = -3.28

abc: 5.3665 5.3665 5.4340
angles: 90.00 90.00 90.00
Fractional positions:
Al (0.0000, 0.0000, 0.0000)
Ge (0.5000, 0.5000, 0.5000)
Sb (0.0000, 0.5000, 0.5000)
Sb (0.5000, 0.0000, 0.5000)
Te (0.5000, 0.5000, 0.0000)

=====

A plane-wave DFT calculation with PBE was carried out for a relaxed AlGeSb2Te crystal.

Properties
- crystal system = tetragonal
- theoretical density (g/cm³) = 5.31
- Fermi-level density of states (states/eV/atom) = 0.72
- energy above the most stable polymorph in this dataset (eV per formula unit) = 0.000
- ΔE_f (raw) (eV/f.u.) = 2.83
- VASP energy (eV/atom) = -3.38

abc: 5.2466 5.2466 5.3448
angles: 90.00 90.00 90.00
Fractional positions:
Al (0.0000, 0.0000, 0.0000)
Ge (0.5000, 0.5000, 0.5000)
Sb (0.0000, 0.5000, 0.0000)
Sb (0.5000, 0.0000, 0.0000)
Te (0.0000, 0.0000, 0.5000)

=====

A plane-wave DFT calculation with PBE was carried out for a relaxed ScAlGe crystal.

Properties
- formation energy (eV/atom) = -0.503
- crystal system = orthorhombic
- theoretical density (g/cm³) = 4.42
- Fermi-level density of states (states/eV/atom) = 0.48
- VASP energy (eV/atom) = -5.40

abc: 4.0525 6.8259 6.8259
angles: 35.10 90.00 90.00
Fractional positions:
Sc (0.0000, 0.0000, 0.0000)
Sc (0.0000, 0.2984, 0.2984)
Al (0.0000, 0.6465, 0.6465)
Al (0.5000, 0.4810, 0.4810)
Ge (0.5000, 0.1462, 0.1462)
Ge (0.5000, 0.8384, 0.8384)

=====

A plane-wave DFT calculation with PBE was carried out for a relaxed ScAlGe crystal.

Properties
- formation energy (eV/atom) = -0.518
- crystal system = monoclinic
- theoretical density (g/cm³) = 4.42
- Fermi-level density of states (states/eV/atom) = 0.40
- VASP energy (eV/atom) = -5.42

abc: 3.9274 4.2380 6.8129
angles: 90.00 106.53 90.00
Fractional positions:
Sc (0.0000, 0.0000, 0.0000)
Sc (0.3005, 0.0000, 0.5988)
Al (0.1496, 0.5000, 0.2995)
Al (0.4803, 0.5000, 0.9608)
Ge (0.6465, 0.0000, 0.2926)
Ge (0.8421, 0.5000, 0.6813)

=====

A plane-wave DFT calculation with PBE was carried out for a relaxed ScAl4Ge crystal.

Properties
- formation energy (eV/atom) = -0.119
- crystal system = cubic
- theoretical density (g/cm³) = 3.44
- Fermi-level density of states (states/eV/atom) = 0.45
- VASP energy (eV/atom) = -4.44

abc: 5.3599 5.3599 5.3599
angles: 60.00 60.00 60.00
Fractional positions:
Sc (0.0000, 0.0000, 0.0000)
Al (0.1241, 0.6253, 0.6253)
Al (0.6253, 0.1241, 0.6253)
Al (0.6253, 0.6253, 0.1241)
Al (0.6253, 0.6253, 0.6253)
Ge (0.2500, 0.2500, 0.2500)

=====

A plane-wave DFT calculation with PBE was carried out for a relaxed ScAl2Ge crystal.

Properties
- formation energy (eV/atom) = -0.145
- crystal system = tetragonal
- theoretical density (g/cm³) = 3.58
- Fermi-level density of states (states/eV/atom) = 0.55
- VASP energy (eV/atom) = -4.75

abc: 6.0562 6.0562 6.0562
angles: 101.57 101.57 126.78
Fractional positions:
Sc (0.0000, 0.0000, 0.0000)
Sc (0.7500, 0.2500, 0.5000)
Al (0.1724, 0.6250, 0.0474)
Al (0.3750, 0.4224, 0.5474)
Al (0.5776, 0.1250, 0.9526)
Al (0.8750, 0.8276, 0.4526)
Ge (0.2500, 0.7500, 0.5000)
Ge (0.5000, 0.5000, 0.0000)

=====

A plane-wave DFT calculation with PBE was carried out for a relaxed ScAlGe crystal.

Properties
- formation energy (eV/atom) = -0.398
- crystal system = monoclinic
- theoretical density (g/cm³) = 3.97
- Fermi-level density of states (states/eV/atom) = 0.69
- VASP energy (eV/atom) = -5.29

abc: 5.1770 5.1770 6.8089
angles: 106.66 106.66 44.23
Fractional positions:
Sc (0.1220, 0.1220, 0.2890)
Sc (0.8780, 0.8780, 0.7110)
Al (0.3762, 0.3762, 0.0651)
Al (0.6238, 0.6238, 0.9349)
Ge (0.1678, 0.1678, 0.7099)
Ge (0.8322, 0.8322, 0.2901)

=====

A plane-wave DFT calculation with PBE was carried out for a relaxed Sc3Al2Ge4 crystal.

Properties
- formation energy (eV/atom) = -0.570
- crystal system = monoclinic
- theoretical density (g/cm³) = 4.67
- Fermi-level density of states (states/eV/atom) = 0.41
- VASP energy (eV/atom) = -5.56

abc: 7.4637 7.4637 6.3332
angles: 111.28 111.28 31.44
Fractional positions:
Sc (0.0000, 0.0000, 0.0000)
Sc (0.1278, 0.1278, 0.5949)
Sc (0.8722, 0.8722, 0.4051)
Al (0.3297, 0.3297, 0.0096)
Al (0.6703, 0.6703, 0.9904)
Ge (0.2157, 0.2157, 0.2597)
Ge (0.4890, 0.4890, 0.6946)
Ge (0.5110, 0.5110, 0.3054)
Ge (0.7843, 0.7843, 0.7403)